a | DFT (PBE) results for a geometry-optimized Cd2Ir2O7 structure.

Lattice parameters (Å, degrees): 10.2638 10.2638 10.2638 90.00 90.00 90.00
Space group Fd-3m (No. 227, origin choice 2)
Symmetry-distinct sites (fractional):
Cd 0.0000 0.0000 0.0000 x16
Ir 0.0000 0.0000 0.5000 x16
O 0.0736 0.3750 0.8750 x48
O 0.1250 0.1250 0.1250 x8

Calculated values
The density of states at the Fermi level comes out at 0.848 states/eV/atom. The value obtained for the total moment is 0.000 μB per cell. As for the volume: 135 Å³/f.u. The density is 8.9 g/cm³.

---

b | DFT (PBE) results for a geometry-optimized Cd2Ir2O7 structure.

Lattice parameters (Å, degrees): 6.6037 9.9690 5.4274 90.00 97.50 90.00
Space group C2/m (No. 12)
Symmetry-distinct sites (fractional):
Cd 0.0000 0.2012 0.0000 x4
Ir 0.2307 0.0000 0.6094 x4
O 0.0000 0.5000 0.5000 x2
O 0.0609 0.0000 0.2945 x4
O 0.2363 0.3404 0.2077 x8

Calculated values
The density of states at the Fermi level comes out at 0.197 states/eV/atom. The value obtained for the total moment is 0.000 μB per cell. As for the volume: 177 Å³/f.u. The density is 6.8 g/cm³.

---

In kJ/mol of atoms, relative to the most stable structure: a 0.0; b 25.4.

---

a | DFT (PBE) results for a geometry-optimized Cd2IrO6 structure.

Lattice parameters (Å, degrees): 4.9465 4.9465 10.0584 90.00 90.00 90.00
Space group P4_2/mnm (No. 136)
Symmetry-distinct sites (fractional):
Cd 0.0000 0.0000 0.1646 x4
Ir 0.0000 0.0000 0.5000 x2
O 0.1832 0.1832 0.3579 x8
O 0.2345 0.2345 0.0000 x4

Calculated values
The density of states at the Fermi level comes out at 0.409 states/eV/atom. The value obtained for the total moment is 0.756 μB per cell. As for the volume: 123 Å³/f.u. The density is 6.9 g/cm³.

---

b | DFT (PBE) results for a geometry-optimized Cd2IrO6 structure.

Lattice parameters (Å, degrees): 5.5501 5.5503 8.8533 90.00 90.00 90.00
Space group Pnnm (No. 58)
Symmetry-distinct sites (fractional):
Cd 0.0000 0.0000 0.2115 x4
Ir 0.0000 0.5000 0.0000 x2
O 0.1766 0.2083 0.0000 x4
O 0.1978 0.6396 0.1513 x8

Calculated values
The density of states at the Fermi level comes out at 0.384 states/eV/atom. The value obtained for the total moment is 0.000 μB per cell. As for the volume: 136 Å³/f.u. The density is 6.2 g/cm³.

---

In kJ/mol of atoms, relative to the most stable structure: a 0.0; b 1.2.

---

a | DFT (PBE) results for a geometry-optimized CdIr3O structure.

Lattice parameters (Å, degrees): 4.9456 4.9456 4.9456 90.00 90.00 90.00
Space group Pm-3m (No. 221)
Symmetry-distinct sites (fractional):
Cd 0.0000 0.0000 0.0000 x1
Ir 0.0000 0.0000 0.5000 x3
O 0.5000 0.5000 0.5000 x1

Calculated values
The density of states at the Fermi level comes out at 1.078 states/eV/atom. The value obtained for the total moment is 5.809 μB per cell. As for the volume: 121 Å³/f.u. The density is 9.7 g/cm³.

---

b | DFT (PBE) results for a geometry-optimized CdIr3O structure.

Lattice parameters (Å, degrees): 4.2035 4.2035 4.2035 90.00 90.00 90.00
Space group Pm-3m (No. 221)
Symmetry-distinct sites (fractional):
Cd 0.0000 0.0000 0.0000 x1
Ir 0.0000 0.5000 0.5000 x3
O 0.5000 0.5000 0.5000 x1

Calculated values
The density of states at the Fermi level comes out at 1.169 states/eV/atom. The value obtained for the total moment is 0.000 μB per cell. As for the volume: 74 Å³/f.u. The density is 15.8 g/cm³.

---

In kJ/mol of atoms, relative to the most stable structure: a 217.5; b 0.0.

---

a | DFT (PBE) results for a geometry-optimized CdIr2O structure.

Lattice parameters (Å, degrees): 4.7362 4.7362 13.0650 90.00 90.00 90.00
Space group I-42d (No. 122)
Symmetry-distinct sites (fractional):
Cd 0.0000 0.0000 0.0000 x4
Ir 0.0788 0.2500 0.6250 x8
O 0.0000 0.0000 0.5000 x4

Calculated values
The density of states at the Fermi level comes out at 0.529 states/eV/atom. The value obtained for the total moment is 0.000 μB per cell. As for the volume: 73 Å³/f.u. The density is 11.6 g/cm³.

---

b | DFT (PBE) results for a geometry-optimized CdIr2O structure.

Lattice parameters (Å, degrees): 6.1736 6.1736 6.1736 90.00 90.00 90.00
Space group Fm-3m (No. 225)
Symmetry-distinct sites (fractional):
Cd 0.0000 0.0000 0.0000 x4
Ir 0.2500 0.2500 0.2500 x8
O 0.0000 0.0000 0.5000 x4

Calculated values
The density of states at the Fermi level comes out at 1.744 states/eV/atom. The value obtained for the total moment is 0.018 μB per cell. As for the volume: 59 Å³/f.u. The density is 14.5 g/cm³.

---

In kJ/mol of atoms, relative to the most stable structure: a 0.0; b 73.7.